Arrangement one

The following is a PBE-GGA calculation of a relaxed TaPIr3 crystal, from the Alexandria database.

Computed properties:
total magnetization = 1.59 μB/cell

a b c (Å): 4.4024 4.4024 4.4024
angles (deg): 90.00 90.00 90.00
Element x y z (fractional)
Ta  0.0000  0.0000  0.0000
P  0.5000  0.5000  0.5000
Ir  0.0000  0.5000  0.5000
Ir  0.5000  0.0000  0.5000
Ir  0.5000  0.5000  0.0000

---

Arrangement two

The following is a PBE-GGA calculation of a relaxed TaPIr3 crystal, from the Alexandria database.

Computed properties:
total magnetization = 0.00 μB/cell

a b c (Å): 4.7763 4.7763 4.7763
angles (deg): 90.00 90.00 90.00
Element x y z (fractional)
Ta  0.0000  0.0000  0.0000
P  0.5000  0.5000  0.5000
Ir  0.0000  0.0000  0.5000
Ir  0.0000  0.5000  0.0000
Ir  0.5000  0.0000  0.0000

---

So which one wins? Going from most stable to least: arrangement one, arrangement two.

---

Arrangement one

The following is a PBE-GGA calculation of a relaxed TcP2Ir crystal, from the Alexandria database.

Computed properties:
total magnetization = 0.00 μB/cell

a b c (Å): 7.6269 7.6269 7.6269
angles (deg): 21.98 21.98 21.98
Element x y z (fractional)
Tc  0.0000  0.0000  0.0000
P  0.2526  0.2526  0.2526
P  0.7474  0.7474  0.7474
Ir  0.5000  0.5000  0.5000

---

Arrangement two

The following is a PBE-GGA calculation of a relaxed TcP2Ir crystal, from the Alexandria database.

Computed properties:
total magnetization = 0.00 μB/cell

a b c (Å): 4.3263 4.3263 4.3263
angles (deg): 60.00 60.00 60.00
Element x y z (fractional)
Tc  0.0000  0.0000  0.0000
P  0.2500  0.2500  0.2500
P  0.5000  0.5000  0.5000
Ir  0.7500  0.7500  0.7500

---

Arrangement three

The following is a PBE-GGA calculation of a relaxed TcP2Ir crystal, from the Alexandria database.

Computed properties:
total magnetization = 0.00 μB/cell

a b c (Å): 3.6436 4.4530 4.2816
angles (deg): 90.00 114.80 90.00
Element x y z (fractional)
Tc  0.0000  0.0000  0.0000
P  0.1235  0.5000  0.2496
P  0.3164  0.0000  0.6277
Ir  0.4419  0.5000  0.8809

---

So which one wins? Going from most stable to least: arrangement three, arrangement one, arrangement two.

---

Arrangement one

The following is a PBE-GGA calculation of a relaxed TePIr2 crystal, from the Alexandria database.

Computed properties:
total magnetization = 0.00 μB/cell

a b c (Å): 4.5744 4.5744 4.5744
angles (deg): 60.00 60.00 60.00
Element x y z (fractional)
Te  0.0000  0.0000  0.0000
P  0.7500  0.7500  0.7500
Ir  0.2500  0.2500  0.2500
Ir  0.5000  0.5000  0.5000

---

Arrangement two

The following is a PBE-GGA calculation of a relaxed TePIr2 crystal, from the Alexandria database.

Computed properties:
total magnetization = 0.00 μB/cell

a b c (Å): 3.9954 3.9958 5.5552
angles (deg): 90.00 90.19 90.00
Element x y z (fractional)
Te  0.0000  0.0000  0.0000
P  0.4974  0.5000  0.4744
Ir  0.4985  0.0000  0.6932
Ir  0.9984  0.5000  0.6933

---

So which one wins? Going from most stable to least: arrangement two, arrangement one.

---

Arrangement one

The following is a PBE-GGA calculation of a relaxed TePIr2 crystal, from the Alexandria database.

Computed properties:
total magnetization = 0.00 μB/cell

a b c (Å): 3.5608 3.9090 5.5649
angles (deg): 90.00 90.00 90.00
Element x y z (fractional)
Te  0.0000  0.0000  0.0000
P  0.0000  0.5000  0.5000
Ir  0.5000  0.5000  0.2475
Ir  0.5000  0.5000  0.7525

---

Arrangement two

The following is a PBE-GGA calculation of a relaxed TePIr2 crystal, from the Alexandria database.

Computed properties:
total magnetization = 0.00 μB/cell

a b c (Å): 4.2953 4.2953 3.5899
angles (deg): 90.00 90.00 90.00
Element x y z (fractional)
Te  0.0000  0.0000  0.0000
P  0.5000  0.5000  0.0000
Ir  0.0000  0.5000  0.5000
Ir  0.5000  0.0000  0.5000

---

Arrangement three

The following is a PBE-GGA calculation of a relaxed TePIr2 crystal, from the Alexandria database.

Computed properties:
total magnetization = 0.00 μB/cell

a b c (Å): 5.4105 5.4105 2.9780
angles (deg): 105.69 105.69 116.31
Element x y z (fractional)
Te  0.0000  0.0000  0.0000
P  0.5000  0.5000  0.0000
Ir  0.0000  0.5000  0.5000
Ir  0.5000  0.0000  0.5000

---

So which one wins? Going from most stable to least: arrangement one, arrangement two, arrangement three.

---

Arrangement one

The following is a PBE-GGA calculation of a relaxed TePIr2 crystal, from the Alexandria database.

Computed properties:
total magnetization = 0.00 μB/cell

a b c (Å): 2.9267 4.6161 4.9463
angles (deg): 90.00 90.00 90.00
Element x y z (fractional)
Te  0.0000  0.0000  0.0000
P  0.5000  0.0000  0.5000
Ir  0.0000  0.5000  0.5000
Ir  0.5000  0.5000  0.0000

---

Arrangement two

The following is a PBE-GGA calculation of a relaxed TePIr2 crystal, from the Alexandria database.

Computed properties:
total magnetization = 0.00 μB/cell

a b c (Å): 3.0683 3.0683 7.8947
angles (deg): 90.00 90.00 90.00
Element x y z (fractional)
Te  0.0000  0.0000  0.0000
P  0.5000  0.5000  0.6086
Ir  0.0000  0.0000  0.4667
Ir  0.5000  0.5000  0.2001

---

Arrangement three

The following is a PBE-GGA calculation of a relaxed TePIr2 crystal, from the Alexandria database.

Computed properties:
total magnetization = 0.00 μB/cell

a b c (Å): 3.5101 3.5101 5.6799
angles (deg): 90.00 90.00 90.00
Element x y z (fractional)
Te  0.0000  0.0000  0.0000
P  0.5000  0.5000  0.5843
Ir  0.0000  0.0000  0.4928
Ir  0.5000  0.5000  0.1851

---

So which one wins? Going from most stable to least: arrangement three, arrangement two, arrangement one.

---

Arrangement one

The following is a PBE-GGA calculation of a relaxed TePIr2 crystal, from the Alexandria database.

Computed properties:
total magnetization = 0.00 μB/cell

a b c (Å): 4.5471 4.5471 4.5471
angles (deg): 60.00 60.00 60.00
Element x y z (fractional)
Te  0.0000  0.0000  0.0000
P  0.5000  0.5000  0.5000
Ir  0.2500  0.2500  0.2500
Ir  0.7500  0.7500  0.7500

---

Arrangement two

The following is a PBE-GGA calculation of a relaxed TePIr2 crystal, from the Alexandria database.

Computed properties:
total magnetization = 0.00 μB/cell

a b c (Å): 4.6895 4.6895 4.6895
angles (deg): 125.35 125.35 80.96
Element x y z (fractional)
Te  0.0000  0.0000  0.0000
P  0.5000  0.5000  0.0000
Ir  0.2500  0.7500  0.5000
Ir  0.7500  0.2500  0.5000

---

So which one wins? Going from most stable to least: arrangement two, arrangement one.

---

Arrangement one

The following is a PBE-GGA calculation of a relaxed Te2PIr2 crystal, from the Alexandria database.

Computed properties:
total magnetization = 0.00 μB/cell

a b c (Å): 6.2934 6.2934 6.2934
angles (deg): 138.41 138.41 60.28
Element x y z (fractional)
Te  0.2500  0.7500  0.5000
Te  0.7500  0.2500  0.5000
P  0.0000  0.0000  0.0000
Ir  0.3842  0.3842  0.0000
Ir  0.6158  0.6158  0.0000

---

Arrangement two

The following is a PBE-GGA calculation of a relaxed Te2PIr2 crystal, from the Alexandria database.

Computed properties:
total magnetization = 0.00 μB/cell

a b c (Å): 7.2163 7.2163 3.7184
angles (deg): 90.00 90.00 90.00
Element x y z (fractional)
Te  0.1646  0.3354  0.0000
Te  0.3354  0.8354  0.0000
Te  0.6646  0.1646  0.0000
Te  0.8354  0.6646  0.0000
P  0.0000  0.0000  0.5000
P  0.5000  0.5000  0.5000
Ir  0.1356  0.6356  0.5000
Ir  0.3644  0.1356  0.5000
Ir  0.6356  0.8644  0.5000
Ir  0.8644  0.3644  0.5000

---

So which one wins? Going from most stable to least: arrangement two, arrangement one.

---

Arrangement one

The following is a PBE-GGA calculation of a relaxed TiP2Ir crystal, from the Alexandria database.

Computed properties:
total magnetization = 0.00 μB/cell

a b c (Å): 6.7028 6.7028 6.7028
angles (deg): 132.88 132.88 68.84
Element x y z (fractional)
Ti  0.0000  0.0000  0.0000
Ti  0.7500  0.2500  0.5000
P  0.1489  0.6250  0.0239
P  0.3750  0.3989  0.5239
P  0.6011  0.1250  0.9761
P  0.8750  0.8511  0.4761
Ir  0.2500  0.7500  0.5000
Ir  0.5000  0.5000  0.0000

---

Arrangement two

The following is a PBE-GGA calculation of a relaxed TiP2Ir crystal, from the Alexandria database.

Computed properties:
total magnetization = 0.00 μB/cell

a b c (Å): 4.2658 4.2658 4.2658
angles (deg): 60.00 60.00 60.00
Element x y z (fractional)
Ti  0.0000  0.0000  0.0000
P  0.2500  0.2500  0.2500
P  0.7500  0.7500  0.7500
Ir  0.5000  0.5000  0.5000

---

So which one wins? Going from most stable to least: arrangement two, arrangement one.